# Al4NiIrRu2

A geometry-optimized Al4NiIrRu2 structure (PBE-GGA, Alexandria).

```
Al4NiIrRu2
1.0
-0.0742 4.1839 0.5176
-3.4401 2.1949 -1.0614
-3.6608 1.2963 6.1708
Al Ru Ni Ir
4 2 1 1
direct
0.6240 0.6240 0.1279
0.3760 0.3760 0.8721
0.1254 0.1254 0.6237
0.8746 0.8746 0.3763
0.7522 0.7522 0.7435
0.2478 0.2478 0.2565
0.5000 0.5000 0.5000
0.0000 0.0000 0.0000
```

Values from the calculation:
Its formation energy is -0.7967 eV per atom.

=====

# AlSiNiIr

A geometry-optimized AlSiNiIr structure (PBE-GGA, Alexandria).

```
AlSiNiIr
1.0
4.1682 0.0000 0.0000
2.0841 3.6098 0.0000
2.0841 1.2033 3.4033
Al Ni Ir Si
1 1 1 1
direct
0.7500 0.7500 0.7500
0.5000 0.5000 0.5000
0.0000 0.0000 0.0000
0.2500 0.2500 0.2500
```

Values from the calculation:
As for the formation energy without anion corrections: -207 kJ/mol of formula units.

=====

# SmAl3NiIr

A geometry-optimized SmAl3NiIr structure (PBE-GGA, Alexandria).

```
SmAl3NiIr
1.0
5.9551 0.0000 0.0000
0.0000 6.2080 0.0000
0.0000 -3.1040 5.8826
Ir Al Ni Sm
2 6 2 2
direct
0.7500 0.6356 0.2711
0.2500 0.3644 0.7289
0.0000 0.7109 0.0000
0.7500 0.8436 0.6872
0.2500 0.1564 0.3128
0.5000 0.7109 0.0000
0.0000 0.2891 0.0000
0.5000 0.2891 0.0000
0.2500 0.9589 0.9178
0.7500 0.0411 0.0822
0.2500 0.7318 0.4636
0.7500 0.2682 0.5364
```

Values from the calculation:
Its formation energy is -0.5209 eV per atom.

=====

# SmAl4Ni2Ir

A geometry-optimized SmAl4Ni2Ir structure (PBE-GGA, Alexandria).

```
SmAl4Ni2Ir
1.0
4.1249 0.0000 0.0000
2.0625 3.5723 0.0000
2.0625 1.1908 8.9634
Sm Al Ni Ir
1 4 2 1
direct
0.0000 0.0000 0.0000
0.1315 0.1315 0.6056
0.8685 0.8685 0.3944
0.5939 0.5939 0.2182
0.4061 0.4061 0.7818
0.7710 0.7710 0.6869
0.2290 0.2290 0.3131
0.5000 0.5000 0.5000
```

Values from the calculation:
Its formation energy is -0.6292 eV per atom.

=====

# Sm2Al3Ni12Ir

A geometry-optimized Sm2Al3Ni12Ir structure (PBE-GGA, Alexandria).

```
Sm2Al3Ni12Ir
1.0
9.1035 1.8295 1.2976
6.0866 7.0124 1.2976
6.0866 3.5429 6.1892
Al Ni Sm Ir
3 12 2 1
direct
0.5000 0.0000 0.0000
0.0000 0.5000 0.0000
0.0000 0.0000 0.5000
0.6380 0.0733 0.0733
0.0733 0.0733 0.6380
0.9267 0.3620 0.9267
0.1896 0.5840 0.5840
0.0733 0.6380 0.0733
0.4160 0.4160 0.8104
0.5840 0.1896 0.5840
0.3620 0.9267 0.9267
0.8104 0.4160 0.4160
0.4160 0.8104 0.4160
0.9267 0.9267 0.3620
0.5840 0.5840 0.1896
0.3502 0.3502 0.3502
0.6498 0.6498 0.6498
0.0000 0.0000 0.0000
```

Values from the calculation:
Its formation energy is -0.0247 eV per atom.

=====

# Sm2Al4Ni3Ir

A geometry-optimized Sm2Al4Ni3Ir structure (PBE-GGA, Alexandria).

```
Sm2Al4Ni3Ir
1.0
-2.3515 -0.9780 -3.2995
2.1109 -3.5660 -0.4474
-6.4963 -4.5973 5.9926
Ni Ir Sm Al
3 1 2 4
direct
0.0000 0.5000 0.1291
0.5000 0.0000 0.8709
0.0000 0.0000 0.5000
0.5000 0.5000 0.5000
0.5000 0.0000 0.2521
0.0000 0.5000 0.7479
0.5000 0.0000 0.6298
0.0000 0.0000 0.0000
0.0000 0.5000 0.3702
0.5000 0.5000 0.0000
```

Values from the calculation:
Its formation energy is -0.6470 eV per atom.

=====

# SmAl4NiIr2

A geometry-optimized SmAl4NiIr2 structure (PBE-GGA, Alexandria).

```
SmAl4NiIr2
1.0
4.2089 0.0000 0.0000
2.1045 3.6450 0.0000
2.1045 1.2150 8.7058
Al Sm Ir Ni
4 1 2 1
direct
0.1336 0.1336 0.5993
0.4064 0.4064 0.7808
0.8664 0.8664 0.4007
0.5936 0.5936 0.2192
0.0000 0.0000 0.0000
0.2320 0.2320 0.3039
0.7680 0.7680 0.6961
0.5000 0.5000 0.5000
```

Values from the calculation:
Its formation energy is -0.7599 eV per atom.

=====

# TbAl4NiIr2

A geometry-optimized TbAl4NiIr2 structure (PBE-GGA, Alexandria).

```
TbAl4NiIr2
1.0
-0.6553 2.7834 3.0809
-1.5324 -1.2808 3.6987
7.2482 -0.7859 5.1193
Ni Ir Al Tb
1 2 4 1
direct
0.5000 0.5000 0.5000
0.7663 0.7663 0.7011
0.2337 0.2337 0.2989
0.1335 0.1335 0.5994
0.4050 0.4050 0.7849
0.5950 0.5950 0.2151
0.8665 0.8665 0.4006
0.0000 0.0000 0.0000
```

Values from the calculation:
Its formation energy is -0.7557 eV per atom.

=====

# Ti2Al2Ni7Ir

A geometry-optimized Ti2Al2Ni7Ir structure (PBE-GGA, Alexandria).

```
Ti2Al2Ni7Ir
1.0
3.7091 0.0299 0.2946
0.0344 3.7090 0.2946
2.8653 2.8618 11.7504
Ti Ir Ni Al
2 1 7 2
direct
0.1670 0.1670 0.3328
0.8330 0.8330 0.6672
0.0000 0.0000 0.0000
0.7156 0.7156 0.5000
0.3406 0.8403 0.1588
0.6594 0.1597 0.8412
0.8403 0.3406 0.1588
0.2844 0.2844 0.5000
0.1597 0.6594 0.8412
0.5000 0.5000 0.0000
0.7031 0.7031 0.2965
0.2969 0.2969 0.7035
```

Values from the calculation:
Its formation energy is -0.1821 eV per atom.

=====

# AlTlNiIr2

A geometry-optimized AlTlNiIr2 structure (PBE-GGA, Alexandria).

```
AlTlNiIr2
1.0
4.4948 0.0000 0.0000
0.0000 4.9761 0.0000
0.0000 0.0000 4.4948
Ir Tl Ni Al
2 1 1 1
direct
0.0000 0.0000 0.5000
0.5000 0.0000 0.0000
0.0000 0.5000 0.0000
0.5000 0.5000 0.5000
0.0000 0.0000 0.0000
```

Values from the calculation:
Its formation energy is 1.2245 eV per atom.

=====

# TmAlNiIr

A geometry-optimized TmAlNiIr structure (PBE-GGA, Alexandria).

```
TmAlNiIr
1.0
4.4958 0.0000 0.0000
2.2479 3.8934 0.0000
2.2479 1.2978 3.6708
Ir Tm Al Ni
1 1 1 1
direct
0.0000 0.0000 0.0000
0.2500 0.2500 0.2500
0.7500 0.7500 0.7500
0.5000 0.5000 0.5000
```

Values from the calculation:
Its formation energy is -0.6747 eV per atom.

=====

# YAl4Ni2Ir

A geometry-optimized YAl4Ni2Ir structure (PBE-GGA, Alexandria).

```
YAl4Ni2Ir
1.0
4.1161 0.0000 0.0000
2.0580 3.5646 0.0000
2.0580 1.1882 8.8387
Al Ni Y Ir
4 2 1 1
direct
0.4047 0.4047 0.7858
0.1309 0.1309 0.6072
0.8691 0.8691 0.3928
0.5953 0.5953 0.2142
0.2303 0.2303 0.3092
0.7697 0.7697 0.6908
0.0000 0.0000 0.0000
0.5000 0.5000 0.5000
```

Values from the calculation:
Its formation energy is -0.6267 eV per atom.

=====

Q: What is the formula in the ninth record?
A: Ti2Al2Ni7Ir